(P)
Material: YTaCd
Method: DFT, GGA-PBE
State: relaxed

mass density	9.42	g/cm3

Cell and atoms, written as CIF:
```
data_YTaCd
_symmetry_space_group_name_H-M 'I 4 m m'
_symmetry_Int_Tables_number 107
_symmetry_space_group_name_Hall 'I 4 -2'
_cell_length_a 3.061
_cell_length_b 3.061
_cell_length_c 14.373
_cell_angle_alpha 90.00
_cell_angle_beta 90.00
_cell_angle_gamma 90.00
loop_
_atom_site_label
_atom_site_fract_x
_atom_site_fract_y
_atom_site_fract_z
Y1 0.000 0.000 0.000
Ta1 0.000 0.000 0.662
Cd1 0.000 0.000 0.319
```



(Q)
Material: YTaCd
Method: DFT, GGA-PBE
State: relaxed

mass density	8.08	g/cm3

Cell and atoms, written as CIF:
```
data_YTaCd
_symmetry_space_group_name_H-M 'F -4 3 m'
_symmetry_Int_Tables_number 216
_symmetry_space_group_name_Hall 'F -4 2 3'
_cell_length_a 6.798
_cell_length_b 6.798
_cell_length_c 6.798
_cell_angle_alpha 90.00
_cell_angle_beta 90.00
_cell_angle_gamma 90.00
loop_
_atom_site_label
_atom_site_fract_x
_atom_site_fract_y
_atom_site_fract_z
Y1 0.000 0.000 0.000
Ta1 0.000 0.000 0.500
Cd1 0.250 0.250 0.750
```



(R)
Material: YTaCd
Method: DFT, GGA-PBE
State: relaxed

mass density	9.13	g/cm3

Cell and atoms, written as CIF:
```
data_YTaCd
_symmetry_space_group_name_H-M 'P 3 m 1'
_symmetry_Int_Tables_number 156
_symmetry_space_group_name_Hall 'P 3 -2"'
_cell_length_a 3.2228
_cell_length_b 3.2228
_cell_length_c 7.7287
_cell_angle_alpha 90.00
_cell_angle_beta 90.00
_cell_angle_gamma 120.00
loop_
_atom_site_label
_atom_site_fract_x
_atom_site_fract_y
_atom_site_fract_z
Y1 0.0000 0.0000 0.0000
Ta1 0.3333 0.6667 0.6792
Cd1 0.6667 0.3333 0.3634
```



(S)
Material: YTaCd
Method: DFT, GGA-PBE
State: relaxed

mass density	7.43	g/cm3

Cell and atoms, written as CIF:
```
data_YTaCd
_symmetry_space_group_name_H-M 'F -4 3 m'
_symmetry_Int_Tables_number 216
_symmetry_space_group_name_Hall 'F -4 2 3'
_cell_length_a 6.992
_cell_length_b 6.992
_cell_length_c 6.992
_cell_angle_alpha 90.00
_cell_angle_beta 90.00
_cell_angle_gamma 90.00
loop_
_atom_site_label
_atom_site_fract_x
_atom_site_fract_y
_atom_site_fract_z
Y1 0.000 0.000 0.000
Ta1 0.250 0.250 0.250
Cd1 0.250 0.250 0.750
```



What is the stability order? It is (P), (R), (Q), (S), from most stable to least stable.



(P)
Material: YTa3Cd
Method: DFT, GGA-PBE
State: relaxed

mass density	10.09	g/cm3

Cell and atoms, written as CIF:
```
data_YTa3Cd
_symmetry_space_group_name_H-M 'P m -3 m'
_symmetry_Int_Tables_number 221
_symmetry_space_group_name_Hall '-P 4 2 3'
_cell_length_a 4.966
_cell_length_b 4.966
_cell_length_c 4.966
_cell_angle_alpha 90.00
_cell_angle_beta 90.00
_cell_angle_gamma 90.00
loop_
_atom_site_label
_atom_site_fract_x
_atom_site_fract_y
_atom_site_fract_z
Y1 0.000 0.000 0.000
Ta1 0.000 0.000 0.500
Cd1 0.500 0.500 0.500
```



(Q)
Material: YTa3Cd
Method: DFT, GGA-PBE
State: relaxed

mass density	9.57	g/cm3

Cell and atoms, written as CIF:
```
data_YTa3Cd
_symmetry_space_group_name_H-M 'P m -3 m'
_symmetry_Int_Tables_number 221
_symmetry_space_group_name_Hall '-P 4 2 3'
_cell_length_a 5.055
_cell_length_b 5.055
_cell_length_c 5.055
_cell_angle_alpha 90.00
_cell_angle_beta 90.00
_cell_angle_gamma 90.00
loop_
_atom_site_label
_atom_site_fract_x
_atom_site_fract_y
_atom_site_fract_z
Y1 0.000 0.000 0.000
Ta1 0.000 0.500 0.500
Cd1 0.500 0.500 0.500
```



What is the stability order? It is (Q), (P), from most stable to least stable.